[1]
Computed, not measured: an optimized crystal structure of PmNdCoAg at the PBE level of DFT.

The symmetry is F-43m. The calculation puts the energy relative to the elements at -68 meV per atom.

Structure (extended XYZ):
```
4
Lattice="0.000 3.606 3.606 3.606 0.000 3.606 3.606 3.606 0.000" Properties=species:S:1:pos:R:3 pbc="T T T"
Pm 0.000 0.000 0.000
Nd 3.606 3.606 3.606
Co 1.803 1.803 1.803
Ag 5.409 5.409 5.409
```

***

[2]
Computed, not measured: an optimized crystal structure of PrNdCoAg at the PBE level of DFT.

The symmetry is F-43m. The calculation puts the energy relative to the elements at -43 meV per atom.

Structure (extended XYZ):
```
4
Lattice="0.000 3.634 3.634 3.634 0.000 3.634 3.634 3.634 0.000" Properties=species:S:1:pos:R:3 pbc="T T T"
Pr 0.000 0.000 0.000
Nd 3.634 3.634 3.634
Co 1.817 1.817 1.817
Ag 5.452 5.452 5.452
```

***

[3]
Computed, not measured: an optimized crystal structure of NdScCoAg at the PBE level of DFT.

The symmetry is F-43m. The calculation puts the energy relative to the elements at -90 meV per atom.

Structure (extended XYZ):
```
4
Lattice="0.000 3.468 3.468 3.468 0.000 3.468 3.468 3.468 0.000" Properties=species:S:1:pos:R:3 pbc="T T T"
Nd 0.000 0.000 0.000
Sc 3.468 3.468 3.468
Co 5.202 5.202 5.202
Ag 1.734 1.734 1.734
```

***

[4]
Computed, not measured: an optimized crystal structure of NdSmCoAg at the PBE level of DFT.

The symmetry is F-43m. The calculation puts the energy relative to the elements at -76 meV per atom.

Structure (extended XYZ):
```
4
Lattice="0.000 3.596 3.596 3.596 0.000 3.596 3.596 3.596 0.000" Properties=species:S:1:pos:R:3 pbc="T T T"
Nd 0.000 0.000 0.000
Sm 3.596 3.596 3.596
Co 5.394 5.394 5.394
Ag 1.798 1.798 1.798
```

***

[5]
Computed, not measured: an optimized crystal structure of NdYCoAg at the PBE level of DFT.

The symmetry is F-43m. The calculation puts the energy relative to the elements at -108 meV per atom.

Structure (extended XYZ):
```
4
Lattice="0.000 3.565 3.565 3.565 0.000 3.565 3.565 3.565 0.000" Properties=species:S:1:pos:R:3 pbc="T T T"
Nd 0.000 0.000 0.000
Y 3.565 3.565 3.565
Co 1.782 1.782 1.782
Ag 5.347 5.347 5.347
```

***

[6]
Computed, not measured: an optimized crystal structure of Co2NiAg at the PBE level of DFT.

The symmetry is P4/mmm. The calculation puts the energy relative to the elements at 345 meV per atom. Its energy above the most stable polymorph in this dataset is 13.11 kJ per mole of atoms.

Structure (extended XYZ):
```
4
Lattice="3.652 0.000 0.000 0.000 3.652 0.000 0.000 0.000 3.808" Properties=species:S:1:pos:R:3 pbc="T T T"
Co 0.000 1.826 0.000
Co 1.826 0.000 0.000
Ni 0.000 0.000 1.904
Ag 1.826 1.826 1.904
```

***

[7]
Computed, not measured: an optimized crystal structure of Co2NiAg at the PBE level of DFT.

The symmetry is Immm. The calculation puts the energy relative to the elements at 350 meV per atom. Its energy above the most stable polymorph in this dataset is 13.58 kJ per mole of atoms.

Structure (extended XYZ):
```
4
Lattice="-1.342 2.172 4.415 1.342 -2.172 4.415 1.342 2.172 -4.415" Properties=species:S:1:pos:R:3 pbc="T T T"
Co 0.000 0.000 2.038
Co 0.000 0.000 6.791
Ni 1.342 0.000 0.000
Ag 0.000 2.172 0.000
```

***

[8]
Computed, not measured: an optimized crystal structure of CoNiAg2 at the PBE level of DFT.

The symmetry is Pmmm. The calculation puts the energy relative to the elements at 411 meV per atom. Its energy above the most stable polymorph in this dataset is 19.57 kJ per mole of atoms.

Structure (extended XYZ):
```
4
Lattice="2.737 0.000 0.000 0.000 3.905 0.000 0.000 0.000 5.430" Properties=species:S:1:pos:R:3 pbc="T T T"
Co 0.000 0.000 0.000
Ni 0.000 0.000 2.715
Ag 1.369 1.953 1.362
Ag 1.369 1.953 4.068
```

***

Number 1: VASP energy -4.94 eV/atom. Number 2: VASP energy -4.92 eV/atom. Number 3: VASP energy -5.35 eV/atom. Number 4: VASP energy -4.94 eV/atom. Number 5: VASP energy -5.41 eV/atom. Number 6: VASP energy -5.37 eV/atom. Number 7: VASP energy -5.36 eV/atom. Number 8: VASP energy -4.24 eV/atom.